Entry from the Alexandria database: a relaxed structure of ScAs2Pt (PBE).

Results
Space-group type = Fm-3m, No. 225
Formation enthalpy at 0 K = -0.45 eV/atom
Size of the total moment = 0.0 μB/cell

Unit cell a=4.644 b=4.644 c=4.644 alpha=60.00 beta=60.00 gamma=60.00
Fractional coordinates of all 4 atoms:
Sc: 0.000 0.000 0.000
As: 0.250 0.250 0.250
As: 0.750 0.750 0.750
Pt: 0.500 0.500 0.500


Entry from the Alexandria database: a relaxed structure of HfIn3H (PBE).

Results
Space-group type = Pm-3m, No. 221
Size of the total moment = 0.0 μB/cell
E_tot = -4.136 eV per atom

Unit cell a=4.548 b=4.548 c=4.548 alpha=90.00 beta=90.00 gamma=90.00
Fractional coordinates of all 5 atoms:
Hf: 0.000 0.000 0.000
In: 0.000 0.500 0.500
In: 0.500 0.000 0.500
In: 0.500 0.500 0.000
H: 0.500 0.500 0.500


Entry from the Alexandria database: a relaxed structure of BePt (PBE).

Results
Space-group type = Fd-3m, No. 227
Formation enthalpy at 0 K = -0.12 eV/atom
Size of the total moment = 0.0 μB/cell

Unit cell a=4.196 b=4.196 c=4.196 alpha=60.00 beta=60.00 gamma=60.00
Fractional coordinates of all 4 atoms:
Be: 0.125 0.125 0.125
Be: 0.875 0.875 0.875
Pt: 0.375 0.375 0.375
Pt: 0.625 0.625 0.625


Entry from the Alexandria database: a relaxed structure of ThNi (PBE).

Results
Space-group type = Pnma, No. 62
Formation enthalpy at 0 K = -0.43 eV/atom
Size of the total moment = 0.0 μB/cell

Unit cell a=7.029 b=4.344 c=5.652 alpha=90.00 beta=90.00 gamma=90.00
Fractional coordinates of all 8 atoms:
Th: 0.183 0.250 0.136
Th: 0.317 0.750 0.636
Th: 0.683 0.250 0.364
Th: 0.817 0.750 0.864
Ni: 0.042 0.250 0.635
Ni: 0.458 0.750 0.135
Ni: 0.542 0.250 0.865
Ni: 0.958 0.750 0.365


Entry from the Alexandria database: a relaxed structure of In2Ga2S7 (PBE).

Results
Space-group type = C2/m, No. 12
Size of the total moment = 0.0 μB/cell
Formation energy without anion corrections = -0.37 eV/atom

Unit cell a=6.811 b=6.811 c=6.468 alpha=101.41 beta=101.41 gamma=111.82
Fractional coordinates of all 11 atoms:
In: 0.187 0.813 0.000
In: 0.813 0.187 0.000
Ga: 0.254 0.254 0.642
Ga: 0.746 0.746 0.358
S: 0.036 0.399 0.758
S: 0.176 0.176 0.254
S: 0.399 0.036 0.758
S: 0.500 0.500 0.500
S: 0.601 0.964 0.242
S: 0.824 0.824 0.746
S: 0.964 0.601 0.242


Entry from the Alexandria database: a relaxed structure of Ho2P3PdRh12 (PBE).

Results
Space-group type = R-3m, No. 166
Formation enthalpy at 0 K = -0.22 eV/atom
Size of the total moment = 0.0 μB/cell

Unit cell a=6.669 b=6.669 c=6.669 alpha=82.90 beta=82.90 gamma=82.90
Fractional coordinates of all 18 atoms:
Ho: 0.124 0.124 0.124
Ho: 0.876 0.876 0.876
P: 0.000 0.500 0.500
P: 0.500 0.000 0.500
P: 0.500 0.500 0.000
Pd: 0.500 0.500 0.500
Rh: 0.132 0.132 0.592
Rh: 0.132 0.592 0.132
Rh: 0.165 0.675 0.675
Rh: 0.325 0.325 0.835
Rh: 0.325 0.835 0.325
Rh: 0.408 0.868 0.868
Rh: 0.592 0.132 0.132
Rh: 0.675 0.165 0.675
Rh: 0.675 0.675 0.165
Rh: 0.835 0.325 0.325
Rh: 0.868 0.408 0.868
Rh: 0.868 0.868 0.408


Entry from the Alexandria database: a relaxed structure of Rb2TlBO4 (PBE).

Results
Space-group type = Fddd, No. 70
Size of the total moment = 0.0 μB/cell
Formation energy without anion corrections = -1.37 eV/atom

Unit cell a=12.536 b=11.435 c=6.352 alpha=84.49 beta=65.22 gamma=30.29
Fractional coordinates of all 16 atoms:
Rb: 0.055 0.055 0.695
Rb: 0.305 0.305 0.945
Rb: 0.695 0.695 0.055
Rb: 0.945 0.945 0.305
Tl: 0.125 0.125 0.125
Tl: 0.875 0.875 0.875
B: 0.375 0.375 0.375
B: 0.625 0.625 0.625
O: 0.091 0.582 0.503
O: 0.324 0.503 0.582
O: 0.418 0.909 0.676
O: 0.497 0.676 0.909
O: 0.503 0.324 0.091
O: 0.582 0.091 0.324
O: 0.676 0.497 0.418
O: 0.909 0.418 0.497


Entry from the Alexandria database: a relaxed structure of VCrH2W (PBE).

Results
Space-group type = P4/mmm, No. 123
Size of the total moment = 0.0 μB/cell
E_tot = -6.697 eV per atom

Unit cell a=3.427 b=3.427 c=4.996 alpha=90.00 beta=90.00 gamma=90.00
Fractional coordinates of all 5 atoms:
V: 0.000 0.000 0.000
Cr: 0.500 0.500 0.500
H: 0.000 0.500 0.000
H: 0.500 0.000 0.000
W: 0.000 0.000 0.500